1.
! HoErSc2, optimized geometry, DFT PBE; values from VASP
&SYSTEM
  ibrav = 0, nat = 4, ntyp = 3
/
ATOMIC_SPECIES
Ho 164.93 Ho.upf
Er 167.26 Er.upf
Sc 44.96 Sc.upf
ATOMIC_POSITIONS crystal
Ho 0.0000 0.0000 0.0000
Er 0.5000 0.5000 0.0000
Sc 0.0000 0.5000 0.5000
Sc 0.5000 0.0000 0.5000
CELL_PARAMETERS angstrom
4.8455 0.0000 0.0000
0.0000 4.8455 0.0000
0.0000 0.0000 4.6853
! - DOS at the Fermi energy: 7.16 states/eV per cell

***

2.
! HoEr5Sc4, optimized geometry, DFT PBE; values from VASP
&SYSTEM
  ibrav = 0, nat = 10, ntyp = 3
/
ATOMIC_SPECIES
Ho 164.93 Ho.upf
Er 167.26 Er.upf
Sc 44.96 Sc.upf
ATOMIC_POSITIONS crystal
Ho 0.0000 0.0000 0.0000
Er 0.4577 0.4577 0.0000
Er 0.4851 0.8748 0.9030
Er 0.5820 0.4851 0.6102
Er 0.8748 0.9718 0.3898
Er 0.9718 0.5820 0.0970
Sc 0.1736 0.8721 0.5881
Sc 0.2840 0.5855 0.4119
Sc 0.5855 0.1736 0.3015
Sc 0.8721 0.2840 0.6985
CELL_PARAMETERS angstrom
-4.8778 4.8778 3.0521
4.8778 -4.8778 3.0521
4.8778 4.8778 -3.0521
! - DOS at the Fermi energy: 14.69 states/eV per cell

***

3.
! Ho2ErSc, optimized geometry, DFT PBE; values from VASP
&SYSTEM
  ibrav = 0, nat = 4, ntyp = 3
/
ATOMIC_SPECIES
Ho 164.93 Ho.upf
Er 167.26 Er.upf
Sc 44.96 Sc.upf
ATOMIC_POSITIONS crystal
Ho 0.0000 0.0000 0.2404
Ho 0.0000 0.0000 0.7596
Er 0.5000 0.5000 0.5000
Sc 0.5000 0.5000 0.0000
CELL_PARAMETERS angstrom
3.4763 0.0000 0.0000
0.0000 3.4763 0.0000
0.0000 0.0000 9.6565
! - DOS at the Fermi energy: 5.91 states/eV per cell

***

4.
! HoEr4Sc6, optimized geometry, DFT PBE; values from VASP
&SYSTEM
  ibrav = 0, nat = 11, ntyp = 3
/
ATOMIC_SPECIES
Ho 164.93 Ho.upf
Er 167.26 Er.upf
Sc 44.96 Sc.upf
ATOMIC_POSITIONS crystal
Ho 0.0000 0.0000 0.0000
Er 0.0113 0.0113 0.3806
Er 0.3693 0.9887 0.0000
Er 0.6307 0.6307 0.6194
Er 0.9887 0.3693 0.0000
Sc 0.0000 0.5000 0.5000
Sc 0.2094 0.5557 0.0000
Sc 0.4443 0.4443 0.6538
Sc 0.5000 0.0000 0.5000
Sc 0.5557 0.2094 0.0000
Sc 0.7906 0.7906 0.3462
CELL_PARAMETERS angstrom
-3.1404 3.1404 7.9220
3.1404 -3.1404 7.9220
3.1404 3.1404 -7.9220
! - DOS at the Fermi energy: 14.35 states/eV per cell

***

5.
! Ho2Er3Sc3, optimized geometry, DFT PBE; values from VASP
&SYSTEM
  ibrav = 0, nat = 8, ntyp = 3
/
ATOMIC_SPECIES
Ho 164.93 Ho.upf
Er 167.26 Er.upf
Sc 44.96 Sc.upf
ATOMIC_POSITIONS crystal
Ho 0.2491 0.2491 0.0000
Ho 0.7509 0.7509 0.0000
Er 0.0000 0.0000 0.0000
Er 0.3780 0.8780 0.5000
Er 0.6220 0.1220 0.5000
Sc 0.1235 0.6235 0.5000
Sc 0.5000 0.5000 0.0000
Sc 0.8765 0.3765 0.5000
CELL_PARAMETERS angstrom
-2.3958 2.4362 9.6882
2.3958 -2.4362 9.6882
2.3958 2.4362 -9.6882
! - DOS at the Fermi energy: 12.73 states/eV per cell

***

6.
! Ho2Er3Sc5, optimized geometry, DFT PBE; values from VASP
&SYSTEM
  ibrav = 0, nat = 20, ntyp = 3
/
ATOMIC_SPECIES
Ho 164.93 Ho.upf
Er 167.26 Er.upf
Sc 44.96 Sc.upf
ATOMIC_POSITIONS crystal
Ho 0.0456 0.2413 0.2868
Ho 0.4544 0.7413 0.1957
Ho 0.5456 0.2587 0.8043
Ho 0.9544 0.7587 0.7132
Er 0.1773 0.7288 0.9061
Er 0.2500 0.2500 0.0000
Er 0.3227 0.2288 0.5515
Er 0.6773 0.7712 0.4485
Er 0.7500 0.7500 0.0000
Er 0.8227 0.2712 0.0939
Sc 0.0660 0.2500 0.8160
Sc 0.1653 0.4420 0.6073
Sc 0.2500 0.7500 0.5000
Sc 0.3347 0.9420 0.2766
Sc 0.4340 0.2500 0.1840
Sc 0.5660 0.7500 0.8160
Sc 0.6653 0.0580 0.7234
Sc 0.7500 0.2500 0.5000
Sc 0.8347 0.5580 0.3927
Sc 0.9340 0.7500 0.1840
CELL_PARAMETERS angstrom
-5.6230 8.2831 3.0988
5.6230 -8.2831 3.0988
5.6230 8.2831 -3.0988
! - DOS at the Fermi energy: 39.37 states/eV per cell

***

7.
! Ho2Er2Sc, optimized geometry, DFT PBE; values from VASP
&SYSTEM
  ibrav = 0, nat = 10, ntyp = 3
/
ATOMIC_SPECIES
Ho 164.93 Ho.upf
Er 167.26 Er.upf
Sc 44.96 Sc.upf
ATOMIC_POSITIONS crystal
Ho 0.1309 0.3691 0.0000
Ho 0.3691 0.8691 0.0000
Ho 0.6309 0.1309 0.0000
Ho 0.8691 0.6309 0.0000
Er 0.1689 0.6689 0.5000
Er 0.3311 0.1689 0.5000
Er 0.6689 0.8311 0.5000
Er 0.8311 0.3311 0.5000
Sc 0.0000 0.0000 0.0000
Sc 0.5000 0.5000 0.0000
CELL_PARAMETERS angstrom
9.0130 0.0000 0.0000
0.0000 9.0130 0.0000
0.0000 0.0000 3.6739
! - DOS at the Fermi energy: 7.70 states/eV per cell

***

8.
! HoErSc2, optimized geometry, DFT PBE; values from VASP
&SYSTEM
  ibrav = 0, nat = 4, ntyp = 3
/
ATOMIC_SPECIES
Ho 164.93 Ho.upf
Er 167.26 Er.upf
Sc 44.96 Sc.upf
ATOMIC_POSITIONS crystal
Ho 0.0000 0.0000 0.0000
Er 0.5000 0.5000 0.3063
Sc 0.0000 0.0000 0.5530
Sc 0.5000 0.5000 0.7510
CELL_PARAMETERS angstrom
3.7284 0.0000 0.0000
0.0000 3.7284 0.0000
0.0000 0.0000 8.0914
! - DOS at the Fermi energy: 7.03 states/eV per cell

***

9.
! Ho2Er7Sc2, optimized geometry, DFT PBE; values from VASP
&SYSTEM
  ibrav = 0, nat = 11, ntyp = 3
/
ATOMIC_SPECIES
Ho 164.93 Ho.upf
Er 167.26 Er.upf
Sc 44.96 Sc.upf
ATOMIC_POSITIONS crystal
Ho 0.1795 0.8205 0.0000
Ho 0.8205 0.1795 0.0000
Er 0.0405 0.4112 0.6980
Er 0.3405 0.3405 0.0875
Er 0.4112 0.0405 0.6980
Er 0.5000 0.5000 0.5000
Er 0.5888 0.9595 0.3020
Er 0.6595 0.6595 0.9125
Er 0.9595 0.5888 0.3020
Sc 0.1044 0.1044 0.3524
Sc 0.8956 0.8956 0.6476
CELL_PARAMETERS angstrom
4.4463 -4.6027 0.0000
4.4463 4.6027 0.0000
-1.7424 0.0000 8.1304
! - DOS at the Fermi energy: 20.62 states/eV per cell

***

10.
! HoEr12Sc6, optimized geometry, DFT PBE; values from VASP
&SYSTEM
  ibrav = 0, nat = 19, ntyp = 3
/
ATOMIC_SPECIES
Ho 164.93 Ho.upf
Er 167.26 Er.upf
Sc 44.96 Sc.upf
ATOMIC_POSITIONS crystal
Ho 0.0000 0.0000 0.0000
Er 0.1122 0.5000 0.8878
Er 0.1122 0.8878 0.5000
Er 0.1432 0.3679 0.3679
Er 0.3679 0.1432 0.3679
Er 0.3679 0.3679 0.1432
Er 0.5000 0.1122 0.8878
Er 0.5000 0.8878 0.1122
Er 0.6321 0.6321 0.8568
Er 0.6321 0.8568 0.6321
Er 0.8568 0.6321 0.6321
Er 0.8878 0.1122 0.5000
Er 0.8878 0.5000 0.1122
Sc 0.2761 0.6877 0.6877
Sc 0.3123 0.3123 0.7239
Sc 0.3123 0.7239 0.3123
Sc 0.6877 0.2761 0.6877
Sc 0.6877 0.6877 0.2761
Sc 0.7239 0.3123 0.3123
CELL_PARAMETERS angstrom
7.2528 4.1874 3.2580
-7.2528 4.1874 3.2580
0.0000 -8.3748 3.2580
! - DOS at the Fermi energy: 26.92 states/eV per cell

***

11.
! HoEr6Sc4, optimized geometry, DFT PBE; values from VASP
&SYSTEM
  ibrav = 0, nat = 11, ntyp = 3
/
ATOMIC_SPECIES
Ho 164.93 Ho.upf
Er 167.26 Er.upf
Sc 44.96 Sc.upf
ATOMIC_POSITIONS crystal
Ho 0.0000 0.0000 0.0000
Er 0.0000 0.5000 0.5000
Er 0.2563 0.5152 0.0000
Er 0.4848 0.4848 0.7411
Er 0.5000 0.0000 0.5000
Er 0.5152 0.2563 0.0000
Er 0.7437 0.7437 0.2589
Sc 0.0976 0.0976 0.5949
Sc 0.4973 0.9024 0.0000
Sc 0.5027 0.5027 0.4051
Sc 0.9024 0.4973 0.0000
CELL_PARAMETERS angstrom
-4.2221 4.2221 4.5623
4.2221 -4.2221 4.5623
4.2221 4.2221 -4.5623
! - DOS at the Fermi energy: 14.26 states/eV per cell

***

12.
! Ho2ErSc, optimized geometry, DFT PBE; values from VASP
&SYSTEM
  ibrav = 0, nat = 4, ntyp = 3
/
ATOMIC_SPECIES
Ho 164.93 Ho.upf
Er 167.26 Er.upf
Sc 44.96 Sc.upf
ATOMIC_POSITIONS crystal
Ho 0.2500 0.2500 0.2500
Ho 0.7500 0.7500 0.7500
Er 0.0000 0.0000 0.0000
Sc 0.5000 0.5000 0.5000
CELL_PARAMETERS angstrom
0.0000 3.8922 3.8922
3.8922 0.0000 3.8922
3.8922 3.8922 0.0000
! - DOS at the Fermi energy: 8.54 states/eV per cell

***

no.,formation energy (eV per atom),distance to the lowest polymorph of the same formula (eV per atom),size of the total moment (μB/atom)
1,0.0523,0.011,0.00
2,0.3396,0.183,0.00
3,0.0400,0.011,0.00
4,0.2961,0.173,0.00
5,0.0486,0.022,0.00
6,0.2695,0.215,0.00
7,0.1685,0.129,0.00
8,0.0774,0.036,0.00
9,0.1096,0.000,0.00
10,0.4386,0.198,0.00
11,0.6311,0.310,0.00
12,0.1303,0.102,0.01